[1]
Below is a geometry-optimized ErPW structure, with properties calculated at the PBE level.

a = 9.815 Å, b = 3.532 Å, c = 7.036 Å
α = 90.00°, β = 104.51°, γ = 90.00°
Space group C2/m (No. 12)
Asymmetric unit:
Er 0.108 0.000 0.312
P 0.179 0.000 0.728
W 0.135 0.500 0.949

As for the total energy: -98.6 eV for the cell shown. As for the density of states at the Fermi level: 0.6343 states/eV/atom.


[2]
Below is a geometry-optimized Y5Er3P8 structure, with properties calculated at the PBE level.

a = 7.9929 Å, b = 7.9929 Å, c = 19.5761 Å
α = 90.00°, β = 90.00°, γ = 120.00°
Space group R-3m (No. 166, hexagonal axes)
Asymmetric unit:
Y 0.0000 0.0000 0.0000
Y 0.0000 0.0000 0.5000
Y 0.0000 0.5000 0.0000
Er 0.0000 0.5000 0.5000
P 0.0000 0.0000 0.2490
P 0.0014 0.5007 0.7507

As for the total energy: -345.7 eV for the cell shown. As for the density of states at the Fermi level: 0.1740 states/eV/atom.


[3]
Below is a geometry-optimized Y2ErP structure, with properties calculated at the PBE level.

a = 3.7489 Å, b = 3.7489 Å, c = 30.0907 Å
α = 90.00°, β = 90.00°, γ = 120.00°
Space group R-3m (No. 166, hexagonal axes)
Asymmetric unit:
Y 0.0000 0.0000 0.1129
Er 0.0000 0.0000 0.0000
P 0.0000 0.0000 0.5000

As for the total energy: -74.7 eV for the cell shown. As for the density of states at the Fermi level: 1.2581 states/eV/atom.